# SrCa5Mn4Ga2O16, optimized geometry, DFT GGA+U
data_SrCa5Mn4Ga2O16
_chemical_formula_sum 'Sr1 Ca5 Mn4 Ga2 O16'
_cell_length_a 5.457
_cell_length_b 11.115
_cell_length_c 5.629
_cell_angle_alpha 90.00
_cell_angle_beta 90.02
_cell_angle_gamma 90.00
_symmetry_space_group_name_H-M 'P 1 m 1'
_symmetry_Int_Tables_number 6
loop_
_symmetry_equiv_pos_as_xyz
'x,y,z'
'x,-y,z'
loop_
_atom_site_label
_atom_site_type_symbol
_atom_site_fract_x
_atom_site_fract_y
_atom_site_fract_z
_atom_site_occupancy
Sr1 Sr 0.000 0.000 0.000 1
Ca1 Ca 0.476 0.310 0.535 1
Ca2 Ca 0.512 0.000 0.521 1
Ca3 Ca 0.975 0.312 0.976 1
Mn1 Mn 0.492 0.172 0.014 1
Mn2 Mn 0.993 0.172 0.499 1
Ga1 Ga 0.441 0.500 0.081 1
Ga2 Ga 0.941 0.500 0.432 1
O1 O 0.025 0.357 0.579 1
O2 O 0.093 0.500 0.128 1
O3 O 0.232 0.202 0.242 1
O4 O 0.253 0.153 0.745 1
O5 O 0.495 0.000 0.088 1
O6 O 0.522 0.357 0.933 1
O7 O 0.594 0.500 0.384 1
O8 O 0.735 0.203 0.265 1
O9 O 0.744 0.156 0.757 1
O10 O 0.978 0.000 0.444 1
# - total DFT energy (no corrections) (eV/atom) = -6.7791